Material: YCo4P
Method: DFT, SCAN
State: single point on PBEsol structure

density of states at the Fermi level	5.7	states/eV per cell
symmetry	F-43m
V	13.2	Å³ per atom
ΔH_f (0 K)	0.04	eV per atom

a = 4.8159 Å, b = 4.8159 Å, c = 4.8159 Å
α = 60.00°, β = 60.00°, γ = 60.00°
With the nearest neighbours (Å) after each atom.
Fractional coordinates of all 6 atoms:
Co: 0.6242 0.6242 0.1273  6 Co 2.39-2.42
Co: 0.1273 0.6242 0.6242  6 Co 2.39-2.42
Co: 0.6242 0.1273 0.6242  6 Co 2.39-2.42
Co: 0.6242 0.6242 0.6242  6 Co 2.39-2.42
P: 0.2500 0.2500 0.2500  12 Co 2.82, 4 Y 2.95
Y: 0.0000 0.0000 0.0000  12 Co 2.83, 4 P 2.95

---

Material: Na5Er4Si4O16F
Method: DFT, SCAN
State: single point on PBEsol structure

density of states at the Fermi level	0.0	states/eV per cell
symmetry	I-4
uncorrected formation energy	-3.237	eV per atom
V	11.7	Å³ per atom

a = 5.3654 Å, b = 8.5253 Å, c = 8.5253 Å
α = 84.32°, β = 71.66°, γ = 71.66°
With the nearest neighbours (Å) after each atom.
Fractional coordinates of all 30 atoms:
Na: 0.0962 0.4851 0.3056  4 O 2.30-2.57
Na: 0.8869 0.5149 0.6944  4 O 2.30-2.57
Na: 0.4187 0.6944 0.4851  4 O 2.30-2.57
Na: 0.5982 0.3056 0.5149  4 O 2.30-2.57
Na: 0.0000 0.0000 0.0000  8 O 2.53-2.76, 2 F 2.68
Er: 0.6564 0.9337 0.7038  7 O 2.22-2.47, 1 F 2.46
Er: 0.2940 0.0663 0.2962  7 O 2.22-2.47, 1 F 2.46
Er: 0.4099 0.2962 0.9337  7 O 2.22-2.47, 1 F 2.46
Er: 0.6397 0.7038 0.0663  7 O 2.22-2.47, 1 F 2.46
Si: 0.9066 0.8578 0.3518  4 O 1.63-1.65
Si: 0.1162 0.1422 0.6482  4 O 1.63-1.65
Si: 0.2356 0.6482 0.8578  4 O 1.63-1.65
Si: 0.7416 0.3518 0.1422  4 O 1.63-1.65
O: 0.8726 0.7224 0.5009  1 Si 1.64
O: 0.0959 0.2776 0.4991  1 Si 1.64
O: 0.4050 0.4991 0.7224  1 Si 1.64
O: 0.6265 0.5009 0.2776  1 Si 1.64
O: 0.7154 0.8644 0.2338  1 Si 1.63
O: 0.8136 0.1356 0.7662  1 Si 1.63
O: 0.4202 0.7662 0.8644  1 Si 1.63
O: 0.0508 0.2338 0.1356  1 Si 1.63
O: 0.2272 0.8275 0.2377  1 Si 1.64
O: 0.2924 0.1725 0.7623  1 Si 1.64
O: 0.9454 0.7623 0.8275  1 Si 1.64
O: 0.5351 0.2377 0.1725  1 Si 1.64
O: 0.8365 0.0348 0.4430  1 Si 1.65
O: 0.3143 0.9652 0.5570  1 Si 1.65
O: 0.1287 0.5570 0.0348  1 Si 1.65
O: 0.7205 0.4430 0.9652  1 Si 1.65
F: 0.5000 0.0000 0.0000  4 Er 2.46, 8 O 2.61-2.70, 2 Na 2.68

---

Material: ReTc
Method: DFT, SCAN
State: single point on PBEsol structure

density of states at the Fermi level	3.7	states/eV per cell
symmetry	P4/nmm
V	14.3	Å³ per atom
ΔH_f (0 K)	0.05	eV per atom

a = 2.7259 Å, b = 2.7259 Å, c = 7.7203 Å
α = 90.00°, β = 90.00°, γ = 90.00°
With the nearest neighbours (Å) after each atom.
Fractional coordinates of all 4 atoms:
Re: 0.5000 0.0000 0.1267  4 Tc 2.72, 8 Re 2.73-2.75
Re: 0.0000 0.5000 0.8733  4 Tc 2.72, 8 Re 2.73-2.75
Tc: 0.5000 0.0000 0.6241  8 Tc 2.72-2.73, 4 Re 2.72
Tc: 0.0000 0.5000 0.3759  8 Tc 2.72-2.73, 4 Re 2.72

---

Material: Rb3TlFe
Method: DFT, SCAN
State: single point on PBEsol structure

density of states at the Fermi level	12.9	states/eV per cell
symmetry	Pm-3m
V	63.3	Å³ per atom
ΔH_f (0 K)	0.84	eV per atom

a = 6.8135 Å, b = 6.8135 Å, c = 6.8135 Å
α = 90.00°, β = 90.00°, γ = 90.00°
With the nearest neighbours (Å) after each atom.
Fractional coordinates of all 5 atoms:
Tl: 0.0000 0.0000 0.0000  6 Rb 3.41
Fe: 0.5000 0.5000 0.5000  12 Rb 4.82
Rb: 0.0000 0.5000 0.0000  2 Tl 3.41
Rb: 0.0000 0.0000 0.5000  2 Tl 3.41
Rb: 0.5000 0.0000 0.0000  2 Tl 3.41